1.
{"formula": "ErSc2Rh", "functional": "PBE", "state": "relaxed", "magmom_total_mub_per_fu": 0.00, "polymorph_energy_mev_per_atom": 311, "ef_ev_per_atom": -0.23, "lattice": [[2.2907, 1.3226, 4.9660], [-2.2907, 1.3226, 4.9660], [0.0000, -2.6451, 4.9660]], "species": ["Er", "Sc", "Sc", "Rh"], "fractional_positions": [[0.0000, 0.0000, 0.0000], [0.2185, 0.2185, 0.2185], [0.7815, 0.7815, 0.7815], [0.5000, 0.5000, 0.5000]]}

---

2.
{"formula": "ErSc5Rh4", "functional": "PBE", "state": "relaxed", "magmom_total_mub_per_fu": 0.00, "ef_ev_per_atom": -0.80, "lattice": [[3.2252, 0.0000, 0.0000], [0.0000, 3.2252, 0.0000], [0.0000, 0.0000, 18.2009]], "species": ["Er", "Sc", "Sc", "Sc", "Sc", "Sc", "Rh", "Rh", "Rh", "Rh"], "fractional_positions": [[0.0000, 0.0000, 0.0000], [0.5000, 0.5000, 0.1445], [0.5000, 0.5000, 0.3211], [0.5000, 0.5000, 0.5000], [0.5000, 0.5000, 0.6789], [0.5000, 0.5000, 0.8555], [0.0000, 0.0000, 0.2301], [0.0000, 0.0000, 0.4104], [0.0000, 0.0000, 0.5896], [0.0000, 0.0000, 0.7699]]}

---

3.
{"formula": "ErScRh", "functional": "PBE", "state": "relaxed", "magmom_total_mub_per_fu": 0.00, "polymorph_energy_mev_per_atom": 105, "ef_ev_per_atom": -0.60, "lattice": [[-1.6500, 1.6500, 6.0722], [1.6500, -1.6500, 6.0722], [1.6500, 1.6500, -6.0722]], "species": ["Er", "Sc", "Rh"], "fractional_positions": [[0.0000, 0.0000, 0.0000], [0.2701, 0.2701, 0.0000], [0.6464, 0.6464, 0.0000]]}

---

4.
{"formula": "Er2Sc3Rh2", "functional": "PBE", "state": "relaxed", "magmom_total_mub_per_fu": 0.00, "polymorph_energy_mev_per_atom": 0, "ef_ev_per_atom": -0.61, "lattice": [[5.6778, -1.8377, 0.0000], [5.6778, 1.8377, 0.0000], [-3.7308, 0.0000, 7.5480]], "species": ["Er", "Er", "Sc", "Sc", "Sc", "Rh", "Rh"], "fractional_positions": [[0.1565, 0.1565, 0.3021], [0.8435, 0.8435, 0.6979], [0.3808, 0.3808, 0.0662], [0.5000, 0.5000, 0.5000], [0.6192, 0.6192, 0.9338], [0.1680, 0.1680, 0.7350], [0.8320, 0.8320, 0.2650]]}

---

5.
{"formula": "Er3Sc2Rh2", "functional": "PBE", "state": "relaxed", "magmom_total_mub_per_fu": 0.00, "ef_ev_per_atom": -0.58, "lattice": [[5.8077, -1.8290, 0.0000], [5.8077, 1.8290, 0.0000], [-3.7526, 0.0000, 7.7687]], "species": ["Er", "Er", "Er", "Sc", "Sc", "Rh", "Rh"], "fractional_positions": [[0.0000, 0.0000, 0.0000], [0.1124, 0.1124, 0.4306], [0.8876, 0.8876, 0.5694], [0.3320, 0.3320, 0.1834], [0.6680, 0.6680, 0.8166], [0.3140, 0.3140, 0.7648], [0.6860, 0.6860, 0.2352]]}

---

6.
{"formula": "Er2Sc2Rh", "functional": "PBE", "state": "relaxed", "magmom_total_mub_per_fu": 0.00, "ef_ev_per_atom": -0.36, "lattice": [[5.9244, -3.2715, 0.0000], [5.9244, 3.2715, 0.0000], [-1.9382, 0.0000, 6.3624]], "species": ["Er", "Er", "Er", "Er", "Sc", "Sc", "Sc", "Sc", "Rh", "Rh"], "fractional_positions": [[0.0535, 0.2428, 0.1046], [0.2428, 0.0535, 0.6046], [0.7572, 0.9465, 0.3954], [0.9465, 0.7572, 0.8954], [0.2825, 0.4889, 0.5227], [0.4889, 0.2825, 0.0227], [0.5111, 0.7175, 0.9773], [0.7175, 0.5111, 0.4773], [0.2865, 0.7135, 0.2500], [0.7135, 0.2865, 0.7500]]}